Density functional theory data (PBE) for a relaxed structure of Tb2YAu.

Raw total energy: -5.03 eV per atom
Magnetization: 1.75 Bohr magnetons per cell
Distance to the lowest polymorph of the same formula: 63 kJ/mol of formula units
DFT formation energy: -282.2 meV per atom

a b c (Å): 3.7508 3.7508 29.5446
angles (deg): 90.00 90.00 120.00
Space group R3m (No. 160, hexagonal axes)
Asymmetric unit:
Tb 0.0000 0.0000 0.0000
Tb 0.0000 0.0000 0.1945
Y 0.0000 0.0000 0.7635
Au 0.0000 0.0000 0.5978